# MgScTeCl2 | Alexandria via LeMat-Bulk | GGA-PBEsol | optimized geometry
data_MgScTeCl2
_chemical_formula_sum 'Mg1 Sc1 Te1 Cl2'
_space_group_name_H-M_alt 'P 1'
_space_group_IT_number 1
_space_group_name_Hall 'P 1'
_cell_length_a 4.8000
_cell_length_b 4.8000
_cell_length_c 5.8543
_cell_angle_alpha 90.00
_cell_angle_beta 90.00
_cell_angle_gamma 90.00
loop_
_atom_site_label
_atom_site_type_symbol
_atom_site_fract_x
_atom_site_fract_y
_atom_site_fract_z
_atom_site_occupancy
Sc1 Sc 0.0000 0.0000 0.0000 1
Mg1 Mg 0.5000 0.5000 0.5000 1
Te1 Te 0.0000 0.0000 0.5000 1
Cl1 Cl 0.0000 0.5000 0.0000 1
Cl2 Cl 0.5000 0.0000 0.0000 1
# - Energy: -4.375 eV/atom
# - Total magnetic moment: 0.00 Bohr magnetons per cell
# - Formation energy without anion corrections: -1.202 eV/atom

# SmInCu2 | Alexandria via LeMat-Bulk | GGA-PBEsol | optimized geometry
data_SmInCu2
_chemical_formula_sum 'Sm1 In1 Cu2'
_space_group_name_H-M_alt 'P 1'
_space_group_IT_number 1
_space_group_name_Hall 'P 1'
_cell_length_a 4.6698
_cell_length_b 4.6698
_cell_length_c 4.6698
_cell_angle_alpha 60.00
_cell_angle_beta 60.00
_cell_angle_gamma 60.00
loop_
_atom_site_label
_atom_site_type_symbol
_atom_site_fract_x
_atom_site_fract_y
_atom_site_fract_z
_atom_site_occupancy
Sm1 Sm 0.5000 0.5000 0.5000 1
Cu1 Cu 0.2500 0.2500 0.2500 1
Cu2 Cu 0.7500 0.7500 0.7500 1
In1 In 0.0000 0.0000 0.0000 1
# - Energy of formation: -0.325 eV/atom
# - Energy: -4.511 eV/atom
# - Total magnetic moment: 0.00 Bohr magnetons per cell

# CeEr3 | Alexandria via LeMat-Bulk | GGA-PBEsol | optimized geometry
data_CeEr3
_chemical_formula_sum 'Ce1 Er3'
_space_group_name_H-M_alt 'P 1'
_space_group_IT_number 1
_space_group_name_Hall 'P 1'
_cell_length_a 4.8402
_cell_length_b 4.8402
_cell_length_c 4.8402
_cell_angle_alpha 90.00
_cell_angle_beta 90.00
_cell_angle_gamma 90.00
loop_
_atom_site_label
_atom_site_type_symbol
_atom_site_fract_x
_atom_site_fract_y
_atom_site_fract_z
_atom_site_occupancy
Ce1 Ce 0.0000 0.0000 0.0000 1
Er1 Er 0.0000 0.5000 0.5000 1
Er2 Er 0.5000 0.0000 0.5000 1
Er3 Er 0.5000 0.5000 0.0000 1
# - Energy of formation: 0.089 eV/atom
# - Energy: -5.255 eV/atom
# - Total magnetic moment: 0.00 Bohr magnetons per cell
# - Excess energy over the best structure of this formula in the dataset: 0 meV per atom